[1]
Material: Sr2HfSnBr
Method: DFT, PBE
State: optimized geometry

Energy relative to the elements, uncorrected = 152.3 meV per atom
SG = P4/mmm (123)

The structure in POSCAR format:
```
Sr2HfSnBr
1.0
6.482 0.000 0.000
0.000 6.482 0.000
0.000 0.000 5.362
Sr Hf Sn Br
2 1 1 1
direct
0.000 0.500 0.000
0.500 0.000 0.000
0.000 0.000 0.000
0.000 0.000 0.500
0.500 0.500 0.500
```

[2]
Material: BaCd2Mo
Method: DFT, PBE
State: optimized geometry

E above lowest polymorph = 266 meV per atom
Energy of formation from the pure elements = 0.7240 eV per atom
SG = R3m (160)

The structure in POSCAR format:
```
BaCd2Mo
1.0
1.576 0.910 11.202
-1.576 0.910 11.202
0.000 -1.820 11.202
Ba Cd Mo
1 2 1
direct
0.000 0.000 0.000
0.236 0.236 0.236
0.488 0.488 0.488
0.753 0.753 0.753
```

[3]
Material: Sr5As2PH
Method: DFT, PBE
State: optimized geometry

Final energy = -3.923 eV/atom
SG = Cmc2_1 (36)

The structure in POSCAR format:
```
Sr5As2PH
1.0
2.240 -9.096 0.000
2.240 9.096 0.000
0.000 0.000 12.850
Sr As P H
10 4 2 2
direct
0.008 0.992 0.500
0.141 0.859 0.212
0.202 0.798 0.865
0.203 0.797 0.553
0.465 0.535 0.260
0.535 0.465 0.760
0.797 0.203 0.053
0.798 0.202 0.365
0.859 0.141 0.712
0.992 0.008 0.000
0.383 0.617 0.894
0.385 0.615 0.510
0.615 0.385 0.010
0.617 0.383 0.394
0.306 0.694 0.207
0.694 0.306 0.707
0.005 0.995 0.696
0.995 0.005 0.196
```

[4]
Material: CsU2GeO8
Method: DFT, PBE
State: optimized geometry

Energy relative to the elements, uncorrected = -2442.9 meV per atom
SG = P-1 (2)

The structure in POSCAR format:
```
CsU2GeO8
1.0
4.499 0.000 0.000
-0.148 4.513 0.000
-0.329 -1.448 10.147
Cs U Ge O
1 2 1 8
direct
0.000 0.000 0.000
0.412 0.454 0.671
0.588 0.546 0.329
0.000 0.000 0.500
0.145 0.723 0.354
0.236 0.887 0.646
0.303 0.292 0.482
0.474 0.570 0.854
0.526 0.430 0.146
0.697 0.708 0.518
0.764 0.113 0.354
0.855 0.277 0.646
```

[5]
Material: PrDyHoTm2
Method: DFT, PBE
State: optimized geometry

Energy of formation from the pure elements = 0.3751 eV per atom
SG = Cmcm (63)

The structure in POSCAR format:
```
PrDyHoTm2
1.0
4.176 -5.721 0.000
4.176 5.721 0.000
0.000 0.000 7.180
Pr Dy Ho Tm
2 2 2 4
direct
0.229 0.771 0.750
0.771 0.229 0.250
0.499 0.501 0.250
0.501 0.499 0.750
0.220 0.780 0.250
0.780 0.220 0.750
0.189 0.189 0.000
0.189 0.189 0.500
0.811 0.811 0.000
0.811 0.811 0.500
```

[6]
Material: La2Mn2Sb
Method: DFT, PBE
State: optimized geometry

Energy relative to the elements, uncorrected = 106.8 meV per atom
SG = I4/mmm (139)

The structure in POSCAR format:
```
La2Mn2Sb
1.0
-2.870 2.870 3.890
2.870 -2.870 3.890
2.870 2.870 -3.890
La Mn Sb
2 2 1
direct
0.250 0.750 0.500
0.750 0.250 0.500
0.161 0.161 0.000
0.839 0.839 0.000
0.500 0.500 0.000
```

no.,M_tot (μB per formula unit)
1,1.7
2,0.0
3,0.0
4,1.0
5,0.0
6,5.1